## 1
# DyAlRe

A geometry-optimized DyAlRe structure (PBE-GGA, the Alexandria database).

Lattice parameters (Å, degrees): 4.4926 13.8117 4.8938 90.00 90.00 90.00
Closest atoms and distances in Å follow each position.
Fractional coordinates of all 12 atoms:
Dy (0.0000, 0.1066, 0.2500)  4 Re 2.95, 1 Al 3.13
Dy (0.0000, 0.8934, 0.7500)  4 Re 2.95, 1 Al 3.13
Dy (0.5000, 0.3934, 0.7500)  4 Re 2.95, 1 Al 3.13
Dy (0.5000, 0.6066, 0.2500)  4 Re 2.95, 1 Al 3.13
Al (0.0000, 0.3330, 0.2500)  2 Re 2.61
Al (0.0000, 0.6670, 0.7500)  2 Re 2.61
Al (0.5000, 0.1670, 0.7500)  2 Re 2.61
Al (0.5000, 0.8330, 0.2500)  2 Re 2.61
Re (0.0000, 0.5000, 0.0000)  2 Re 2.45, 2 Al 2.61
Re (0.0000, 0.5000, 0.5000)  2 Re 2.45, 2 Al 2.61
Re (0.5000, 0.0000, 0.0000)  2 Re 2.45, 2 Al 2.61
Re (0.5000, 0.0000, 0.5000)  2 Re 2.45, 2 Al 2.61

## Properties
The space group is Cmcm. For the magnetic moment, the calculation gives 0.0 μB per cell.

## 2
# DyAlRe

A geometry-optimized DyAlRe structure (PBE-GGA, the Alexandria database).

Lattice parameters (Å, degrees): 5.3536 5.5640 7.6216 90.00 90.00 90.00
Closest atoms and distances in Å follow each position.
Fractional coordinates of all 12 atoms:
Dy (0.0000, 0.2500, 0.1171)  6 Re 3.10-3.25, 6 Al 3.15-3.23, 4 Dy 3.31-3.36
Dy (0.0000, 0.7500, 0.8829)  6 Re 3.10-3.25, 6 Al 3.15-3.23, 4 Dy 3.31-3.36
Dy (0.5000, 0.2500, 0.3829)  6 Re 3.10-3.25, 6 Al 3.15-3.23, 4 Dy 3.31-3.36
Dy (0.5000, 0.7500, 0.6171)  6 Re 3.10-3.25, 6 Al 3.15-3.23, 4 Dy 3.31-3.36
Al (0.0000, 0.0000, 0.5000)  4 Re 2.71, 2 Al 2.78
Al (0.0000, 0.5000, 0.5000)  4 Re 2.71, 2 Al 2.78
Al (0.5000, 0.0000, 0.0000)  4 Re 2.71, 2 Al 2.78
Al (0.5000, 0.5000, 0.0000)  4 Re 2.71, 2 Al 2.78
Re (0.2500, 0.2500, 0.7500)  2 Re 2.68, 4 Al 2.71
Re (0.2500, 0.7500, 0.2500)  2 Re 2.68, 4 Al 2.71
Re (0.7500, 0.2500, 0.7500)  2 Re 2.68, 4 Al 2.71
Re (0.7500, 0.7500, 0.2500)  2 Re 2.68, 4 Al 2.71

## Properties
The space group is Imma. For the magnetic moment, the calculation gives 0.0 μB per cell.

Computed energies relative to the best structure, in meV/atom: 1 590; 2 0

## 1
# DyAl3Rh

A geometry-optimized DyAl3Rh structure (PBE-GGA, the Alexandria database).

Lattice parameters (Å, degrees): 8.1851 5.4544 8.3124 90.00 99.79 90.00
Closest atoms and distances in Å follow each position.
Fractional coordinates of all 20 atoms:
Dy (0.1298, 0.1165, 0.2126)  9 Al 2.99-3.33, 1 Rh 3.13
Dy (0.1298, 0.3835, 0.7126)  9 Al 2.99-3.33, 1 Rh 3.13
Dy (0.8702, 0.6165, 0.2874)  9 Al 2.99-3.33, 1 Rh 3.13
Dy (0.8702, 0.8835, 0.7874)  9 Al 2.99-3.33, 1 Rh 3.13
Al (0.1363, 0.6254, 0.0536)  4 Al 2.63-2.66, 1 Rh 2.85
Al (0.1363, 0.8746, 0.5536)  4 Al 2.63-2.66, 1 Rh 2.85
Al (0.2870, 0.6026, 0.3585)  3 Rh 2.55-2.72, 3 Al 2.63-2.84
Al (0.2870, 0.8974, 0.8585)  3 Rh 2.55-2.72, 3 Al 2.63-2.84
Al (0.4005, 0.1607, 0.5584)  3 Rh 2.50-2.79, 2 Al 2.66-2.68
Al (0.4005, 0.3393, 0.0584)  3 Rh 2.50-2.79, 2 Al 2.66-2.68
Al (0.5995, 0.6607, 0.9416)  3 Rh 2.50-2.79, 2 Al 2.66-2.68
Al (0.5995, 0.8393, 0.4416)  3 Rh 2.50-2.79, 2 Al 2.66-2.68
Al (0.7130, 0.1026, 0.1415)  3 Rh 2.55-2.72, 3 Al 2.63-2.84
Al (0.7130, 0.3974, 0.6415)  3 Rh 2.55-2.72, 3 Al 2.63-2.84
Al (0.8637, 0.1254, 0.4464)  4 Al 2.63-2.66, 1 Rh 2.85
Al (0.8637, 0.3746, 0.9464)  4 Al 2.63-2.66, 1 Rh 2.85
Rh (0.4528, 0.6504, 0.6517)  6 Al 2.50-2.79
Rh (0.4528, 0.8496, 0.1517)  6 Al 2.50-2.79
Rh (0.5472, 0.1504, 0.8483)  6 Al 2.50-2.79
Rh (0.5472, 0.3496, 0.3483)  6 Al 2.50-2.79

## Properties
The space group is P2_1/c. For the magnetic moment, the calculation gives 0.0 μB per cell.

## 2
# DyAl3Rh

A geometry-optimized DyAl3Rh structure (PBE-GGA, the Alexandria database).

Lattice parameters (Å, degrees): 6.6234 6.6234 6.6234 128.43 90.37 111.84
Closest atoms and distances in Å follow each position.
Fractional coordinates of all 10 atoms:
Dy (0.3528, 0.1028, 0.2500)  7 Al 3.07-3.43
Dy (0.6472, 0.8972, 0.7500)  7 Al 3.07-3.43
Al (0.1794, 0.0000, 0.6794)  2 Rh 2.44, 2 Al 2.71
Al (0.1794, 0.5000, 0.1794)  2 Rh 2.44, 2 Al 2.71
Al (0.2118, 0.4618, 0.7500)  2 Rh 2.35
Al (0.7882, 0.5382, 0.2500)  2 Rh 2.35
Al (0.8206, 0.0000, 0.3206)  2 Rh 2.44, 2 Al 2.71
Al (0.8206, 0.5000, 0.8206)  2 Rh 2.44, 2 Al 2.71
Rh (0.0000, 0.5000, 0.5000)  6 Al 2.35-2.44
Rh (0.5000, 0.5000, 0.0000)  6 Al 2.35-2.44

## Properties
The space group is Imma. For the magnetic moment, the calculation gives 0.0 μB per cell.

Computed energies relative to the best structure, in meV/atom: 1 0; 2 70

## 1
# Dy2AlRh

A geometry-optimized Dy2AlRh structure (PBE-GGA, the Alexandria database).

Lattice parameters (Å, degrees): 3.3030 3.3030 29.6694 90.00 90.00 120.00
Closest atoms and distances in Å follow each position.
Fractional coordinates of all 12 atoms:
Dy (0.0000, 0.0000, 0.0857)  1 Rh 2.54
Dy (0.0000, 0.0000, 0.9143)  1 Rh 2.54
Dy (0.3333, 0.6667, 0.5809)  1 Rh 2.54
Dy (0.3333, 0.6667, 0.7524)  1 Rh 2.54
Dy (0.6667, 0.3333, 0.2476)  1 Rh 2.54
Dy (0.6667, 0.3333, 0.4191)  1 Rh 2.54
Al (0.0000, 0.0000, 0.5000)  6 Dy 3.07, 6 Al 3.30
Al (0.3333, 0.6667, 0.1667)  6 Dy 3.07, 6 Al 3.30
Al (0.6667, 0.3333, 0.8333)  6 Dy 3.07, 6 Al 3.30
Rh (0.0000, 0.0000, 0.0000)  2 Dy 2.54
Rh (0.3333, 0.6667, 0.6667)  2 Dy 2.54
Rh (0.6667, 0.3333, 0.3333)  2 Dy 2.54

## Properties
The space group is R-3m. For the magnetic moment, the calculation gives 0.0 μB per cell.

## 2
# Dy2AlRh

A geometry-optimized Dy2AlRh structure (PBE-GGA, the Alexandria database).

Lattice parameters (Å, degrees): 7.0588 7.0588 7.0588 90.00 90.00 90.00
Closest atoms and distances in Å follow each position.
Fractional coordinates of all 16 atoms:
Dy (0.2500, 0.2500, 0.2500)  4 Al 3.06, 4 Rh 3.06
Dy (0.2500, 0.2500, 0.7500)  4 Al 3.06, 4 Rh 3.06
Dy (0.2500, 0.7500, 0.2500)  4 Al 3.06, 4 Rh 3.06
Dy (0.2500, 0.7500, 0.7500)  4 Al 3.06, 4 Rh 3.06
Dy (0.7500, 0.2500, 0.2500)  4 Al 3.06, 4 Rh 3.06
Dy (0.7500, 0.2500, 0.7500)  4 Al 3.06, 4 Rh 3.06
Dy (0.7500, 0.7500, 0.2500)  4 Al 3.06, 4 Rh 3.06
Dy (0.7500, 0.7500, 0.7500)  4 Al 3.06, 4 Rh 3.06
Al (0.0000, 0.0000, 0.0000)  8 Dy 3.06
Al (0.0000, 0.5000, 0.5000)  8 Dy 3.06
Al (0.5000, 0.0000, 0.5000)  8 Dy 3.06
Al (0.5000, 0.5000, 0.0000)  8 Dy 3.06
Rh (0.0000, 0.0000, 0.5000)  8 Dy 3.06
Rh (0.0000, 0.5000, 0.0000)  8 Dy 3.06
Rh (0.5000, 0.0000, 0.0000)  8 Dy 3.06
Rh (0.5000, 0.5000, 0.5000)  8 Dy 3.06

## Properties
The space group is Fm-3m. For the magnetic moment, the calculation gives 0.0 μB per cell.

Computed energies relative to the best structure, in meV/atom: 1 612; 2 0

## 1
# Dy4AlRu

A geometry-optimized Dy4AlRu structure (PBE-GGA, the Alexandria database).

Lattice parameters (Å, degrees): 7.9093 7.9093 6.0595 103.00 103.00 112.58
Closest atoms and distances in Å follow each position.
Fractional coordinates of all 12 atoms:
Dy (0.0600, 0.7137, 0.9332)  2 Ru 2.88-2.89, 2 Al 3.17-3.18
Dy (0.2135, 0.3558, 0.6589)  2 Ru 2.87-2.93, 1 Al 3.13
Dy (0.2863, 0.9400, 0.5668)  2 Ru 2.88-2.89, 2 Al 3.17-3.18
Dy (0.3558, 0.2135, 0.1589)  2 Ru 2.87-2.93, 1 Al 3.13
Dy (0.6442, 0.7865, 0.8411)  2 Ru 2.87-2.93, 1 Al 3.13
Dy (0.7137, 0.0600, 0.4332)  2 Ru 2.88-2.89, 2 Al 3.17-3.18
Dy (0.7865, 0.6442, 0.3411)  2 Ru 2.87-2.93, 1 Al 3.13
Dy (0.9400, 0.2863, 0.0668)  2 Ru 2.88-2.89, 2 Al 3.17-3.18
Al (0.3735, 0.6265, 0.2500)  8 Dy 3.13-3.38
Al (0.6265, 0.3735, 0.7500)  8 Dy 3.13-3.38
Ru (0.9996, 0.0004, 0.2500)  8 Dy 2.87-2.93, 2 Ru 3.03
Ru (0.0004, 0.9996, 0.7500)  8 Dy 2.87-2.93, 2 Ru 3.03

## Properties
The space group is C2/c. For the magnetic moment, the calculation gives 0.0 μB per cell.

## 2
# Dy4AlRu

A geometry-optimized Dy4AlRu structure (PBE-GGA, the Alexandria database).

Lattice parameters (Å, degrees): 9.5067 9.5067 9.5067 60.00 60.00 60.00
Closest atoms and distances in Å follow each position.
Fractional coordinates of all 24 atoms:
Dy (0.0560, 0.0560, 0.4440)  2 Ru 2.75
Dy (0.0560, 0.4440, 0.0560)  2 Ru 2.75
Dy (0.0560, 0.4440, 0.4440)  2 Ru 2.75
Dy (0.1889, 0.1889, 0.8111)  2 Al 3.31, 10 Dy 3.42-3.59, 2 Ru 3.42
Dy (0.1889, 0.8111, 0.1889)  2 Al 3.31, 10 Dy 3.42-3.59, 2 Ru 3.42
Dy (0.1889, 0.8111, 0.8111)  2 Al 3.31, 10 Dy 3.42-3.59, 2 Ru 3.42
Dy (0.1992, 0.6002, 0.6002)  3 Ru 2.84
Dy (0.4440, 0.0560, 0.0560)  2 Ru 2.75
Dy (0.4440, 0.0560, 0.4440)  2 Ru 2.75
Dy (0.4440, 0.4440, 0.0560)  2 Ru 2.75
Dy (0.6002, 0.1992, 0.6002)  3 Ru 2.84
Dy (0.6002, 0.6002, 0.1992)  3 Ru 2.84
Dy (0.6002, 0.6002, 0.6002)  3 Ru 2.84
Dy (0.8111, 0.1889, 0.1889)  2 Al 3.31, 10 Dy 3.42-3.59, 2 Ru 3.42
Dy (0.8111, 0.1889, 0.8111)  2 Al 3.31, 10 Dy 3.42-3.59, 2 Ru 3.42
Dy (0.8111, 0.8111, 0.1889)  2 Al 3.31, 10 Dy 3.42-3.59, 2 Ru 3.42
Al (0.5206, 0.8265, 0.8265)  3 Al 2.91
Al (0.8265, 0.5206, 0.8265)  3 Al 2.91
Al (0.8265, 0.8265, 0.5206)  3 Al 2.91
Al (0.8265, 0.8265, 0.8265)  3 Al 2.91
Ru (0.3894, 0.3894, 0.3894)  6 Dy 2.75-2.84
Ru (0.3894, 0.3894, 0.8318)  6 Dy 2.75-2.84
Ru (0.3894, 0.8318, 0.3894)  6 Dy 2.75-2.84
Ru (0.8318, 0.3894, 0.3894)  6 Dy 2.75-2.84

## Properties
The space group is F-43m. For the magnetic moment, the calculation gives 0.0 μB per cell.

Computed energies relative to the best structure, in meV/atom: 1 64; 2 0

## 1
# DyScAl

A geometry-optimized DyScAl structure (PBE-GGA, the Alexandria database).

Lattice parameters (Å, degrees): 3.3127 3.3127 13.0011 90.00 90.00 90.00
Closest atoms and distances in Å follow each position.
Fractional coordinates of all 6 atoms:
Dy (0.0000, 0.0000, 0.0000)  4 Al 3.15, 4 Dy 3.31, 4 Sc 3.47
Dy (0.5000, 0.5000, 0.5000)  4 Al 3.15, 4 Dy 3.31, 4 Sc 3.47
Sc (0.0000, 0.0000, 0.6970)  4 Al 2.98, 4 Sc 3.31
Sc (0.5000, 0.5000, 0.1970)  4 Al 2.98, 4 Sc 3.31
Al (0.0000, 0.0000, 0.3382)  4 Sc 2.98, 4 Dy 3.15, 4 Al 3.31
Al (0.5000, 0.5000, 0.8382)  4 Sc 2.98, 4 Dy 3.15, 4 Al 3.31

## Properties
The space group is I4mm. For the magnetic moment, the calculation gives 0.0 μB per cell.

## 2
# DyScAl

A geometry-optimized DyScAl structure (PBE-GGA, the Alexandria database).

Lattice parameters (Å, degrees): 3.5808 5.0946 8.0412 90.00 102.87 90.00
Closest atoms and distances in Å follow each position.
Fractional coordinates of all 6 atoms:
Dy (0.0785, 0.2500, 0.1577)  6 Al 3.12-3.16, 2 Sc 3.46-3.47
Dy (0.9215, 0.7500, 0.8423)  6 Al 3.12-3.16, 2 Sc 3.46-3.47
Sc (0.2318, 0.7500, 0.4639)  2 Al 2.89, 4 Sc 3.16-3.17
Sc (0.7682, 0.2500, 0.5361)  2 Al 2.89, 4 Sc 3.16-3.17
Al (0.4133, 0.2500, 0.8262)  2 Sc 2.89, 6 Dy 3.12-3.16
Al (0.5867, 0.7500, 0.1738)  2 Sc 2.89, 6 Dy 3.12-3.16

## Properties
The space group is P2_1/m. For the magnetic moment, the calculation gives 0.0 μB per cell.

## 3
# DyScAl

A geometry-optimized DyScAl structure (PBE-GGA, the Alexandria database).

Lattice parameters (Å, degrees): 3.2519 3.2519 27.5802 90.00 90.00 90.00
Closest atoms and distances in Å follow each position.
Fractional coordinates of all 12 atoms:
Dy (0.0000, 0.0000, 0.0639)  4 Al 3.07, 4 Dy 3.25
Dy (0.0000, 0.0000, 0.9361)  4 Al 3.07, 4 Dy 3.25
Dy (0.5000, 0.5000, 0.4361)  4 Al 3.07, 4 Dy 3.25
Dy (0.5000, 0.5000, 0.5639)  4 Al 3.07, 4 Dy 3.25
Sc (0.0000, 0.0000, 0.2064)  4 Al 2.98, 8 Sc 3.25-3.33
Sc (0.0000, 0.0000, 0.7936)  4 Al 2.98, 8 Sc 3.25-3.33
Sc (0.5000, 0.5000, 0.2936)  4 Al 2.98, 8 Sc 3.25-3.33
Sc (0.5000, 0.5000, 0.7064)  4 Al 2.98, 8 Sc 3.25-3.33
Al (0.0000, 0.0000, 0.3625)  4 Sc 2.98, 4 Dy 3.07, 4 Al 3.25
Al (0.0000, 0.0000, 0.6375)  4 Sc 2.98, 4 Dy 3.07, 4 Al 3.25
Al (0.5000, 0.5000, 0.1375)  4 Sc 2.98, 4 Dy 3.07, 4 Al 3.25
Al (0.5000, 0.5000, 0.8625)  4 Sc 2.98, 4 Dy 3.07, 4 Al 3.25

## Properties
The space group is I4/mmm. For the magnetic moment, the calculation gives 0.0 μB per cell.

Computed energies relative to the best structure, in meV/atom: 1 27; 2 0; 3 101

## 1
# DyScAl

A geometry-optimized DyScAl structure (PBE-GGA, the Alexandria database).

Lattice parameters (Å, degrees): 5.0345 5.0345 3.0640 90.00 90.00 120.00
Closest atoms and distances in Å follow each position.
Fractional coordinates of all 3 atoms:
Dy (0.0000, 0.0000, 0.0000)  3 Sc 2.91, 2 Dy 3.06
Sc (0.6667, 0.3333, 0.0000)  3 Dy 2.91, 2 Sc 3.06
Al (0.3333, 0.6667, 0.5000)  2 Al 3.06, 6 Dy 3.29, 6 Sc 3.29

## Properties
The space group is P-6m2. For the magnetic moment, the calculation gives 0.0 μB per cell.

## 2
# DyScAl

A geometry-optimized DyScAl structure (PBE-GGA, the Alexandria database).

Lattice parameters (Å, degrees): 7.8253 7.8253 4.2506 90.00 90.00 120.00
Closest atoms and distances in Å follow each position.
Fractional coordinates of all 9 atoms:
Dy (0.0000, 0.4055, 0.0000)  5 Al 3.17-3.19, 6 Sc 3.41-3.50
Dy (0.4055, 0.0000, 0.0000)  5 Al 3.17-3.19, 6 Sc 3.41-3.50
Dy (0.5945, 0.5945, 0.0000)  5 Al 3.17-3.19, 6 Sc 3.41-3.50
Sc (0.0000, 0.7459, 0.5000)  4 Al 2.91-2.97
Sc (0.2541, 0.2541, 0.5000)  4 Al 2.91-2.97
Sc (0.7459, 0.0000, 0.5000)  4 Al 2.91-2.97
Al (0.0000, 0.0000, 0.0000)  6 Sc 2.91, 3 Dy 3.17
Al (0.3333, 0.6667, 0.5000)  3 Sc 2.97, 6 Dy 3.19
Al (0.6667, 0.3333, 0.5000)  3 Sc 2.97, 6 Dy 3.19

## Properties
The space group is P-62m. For the magnetic moment, the calculation gives 3.1 μB per cell.

Computed energies relative to the best structure, in meV/atom: 1 213; 2 0